Record 1
The following is a GGA-PBEsol calculation of a relaxed structure of NbZnN2F, from Alexandria via LeMat-Bulk.

Cell and atoms, written as POSCAR:
```
NbZnN2F
1.0
3.841 0.000 0.000
0.000 3.841 0.000
0.000 0.000 3.633
Nb Zn N F
1 1 2 1
Direct
0.000 0.000 0.000
0.500 0.500 0.500
0.000 0.500 0.500
0.500 0.000 0.500
0.500 0.500 0.000
```

Computed properties:
Its energy relative to the elements, uncorrected is 0.340 eV per atom. The space group is P4/mmm (123).

=====

Record 2
The following is a GGA-PBEsol calculation of a relaxed structure of NiNO2F, from Alexandria via LeMat-Bulk.

Cell and atoms, written as POSCAR:
```
NiNO2F
1.0
3.628 0.000 0.000
0.000 3.628 0.000
0.000 0.000 3.811
Ni N O F
1 1 2 1
Direct
0.000 0.000 0.000
0.500 0.500 0.500
0.000 0.500 0.000
0.500 0.000 0.000
0.000 0.000 0.500
```

Computed properties:
Its energy relative to the elements, uncorrected is 0.735 eV per atom. The space group is P4/mmm (123).

=====

Record 3
The following is a GGA-PBEsol calculation of a relaxed structure of NiN2OF, from Alexandria via LeMat-Bulk.

Cell and atoms, written as POSCAR:
```
NiN2OF
1.0
3.394 0.000 0.000
0.000 3.394 0.000
0.000 0.000 4.322
Ni N O F
1 2 1 1
Direct
0.000 0.000 0.000
0.000 0.500 0.500
0.500 0.000 0.500
0.500 0.500 0.000
0.500 0.500 0.500
```

Computed properties:
Its energy relative to the elements, uncorrected is 2.363 eV per atom. The space group is P4/mmm (123).

=====

Please write out number 1 again, unchanged.
The following is a GGA-PBEsol calculation of a relaxed structure of NbZnN2F, from Alexandria via LeMat-Bulk.

Cell and atoms, written as POSCAR:
```
NbZnN2F
1.0
3.841 0.000 0.000
0.000 3.841 0.000
0.000 0.000 3.633
Nb Zn N F
1 1 2 1
Direct
0.000 0.000 0.000
0.500 0.500 0.500
0.000 0.500 0.500
0.500 0.000 0.500
0.500 0.500 0.000
```

Computed properties:
Its energy relative to the elements, uncorrected is 0.340 eV per atom. The space group is P4/mmm (123).